Compound: ScNb2Tl3O9
Source: Alexandria
Functional: PBE
Structure: relaxed

## Properties
The value obtained for the total energy is -7.15 eV/atom.

Structure (CIF):
```
data_ScNb2Tl3O9
_chemical_formula_sum 'Sc1 Nb2 Tl3 O9'
_cell_length_a 5.8177
_cell_length_b 5.8177
_cell_length_c 7.1467
_cell_angle_alpha 90.00
_cell_angle_beta 90.00
_cell_angle_gamma 120.00
_symmetry_space_group_name_H-M 'P -3 m 1'
_symmetry_Int_Tables_number 164
_symmetry_space_group_name_Hall '-P 3 2"'
loop_
_atom_site_label
_atom_site_fract_x
_atom_site_fract_y
_atom_site_fract_z
_atom_site_occupancy
Sc1 0.0000 0.0000 0.0000 1
Nb1 0.3333 0.6667 0.6783 1
Tl1 0.0000 0.0000 0.5000 1
Tl2 0.3333 0.6667 0.1825 1
O1 0.0000 0.5000 0.5000 1
O2 0.1698 0.3397 0.8254 1
```


Compound: KSr
Source: Alexandria
Functional: PBE
Structure: relaxed

## Properties
The value obtained for the total energy is -1.05 eV/atom. As for the formation enthalpy at 0 K: 335 meV/atom.

Structure (CIF):
```
data_KSr
_chemical_formula_sum 'K4 Sr4'
_cell_length_a 8.1601
_cell_length_b 8.1601
_cell_length_c 8.1810
_cell_angle_alpha 90.00
_cell_angle_beta 90.00
_cell_angle_gamma 90.00
_symmetry_space_group_name_H-M 'P 42/m n m'
_symmetry_Int_Tables_number 136
_symmetry_space_group_name_Hall '-P 4n 2n'
loop_
_atom_site_label
_atom_site_fract_x
_atom_site_fract_y
_atom_site_fract_z
_atom_site_occupancy
K1 0.1826 0.1826 0.0000 1
Sr1 0.1834 0.1834 0.5000 1
```


Compound: BaIrAu
Source: Alexandria
Functional: PBE
Structure: relaxed

## Properties
The calculation puts the energy above the most stable polymorph in this dataset at 273 meV/atom. The value obtained for the total energy is -4.59 eV/atom. As for the formation enthalpy at 0 K: 96 meV/atom.

Structure (CIF):
```
data_BaIrAu
_chemical_formula_sum 'Ba2 Ir2 Au2'
_cell_length_a 3.5571
_cell_length_b 3.9111
_cell_length_c 10.9588
_cell_angle_alpha 90.00
_cell_angle_beta 90.00
_cell_angle_gamma 90.00
_symmetry_space_group_name_H-M 'I m m 2'
_symmetry_Int_Tables_number 44
_symmetry_space_group_name_Hall 'I 2 -2'
loop_
_atom_site_label
_atom_site_fract_x
_atom_site_fract_y
_atom_site_fract_z
_atom_site_occupancy
Ba1 0.0000 0.0000 0.0000 1
Ir1 0.0000 0.0000 0.2783 1
Au1 0.0000 0.0000 0.7197 1
```


Compound: Li6AgPd
Source: Alexandria
Functional: PBE
Structure: relaxed

## Properties
The calculation puts the energy above the most stable polymorph in this dataset at 0 meV/atom. The value obtained for the total energy is -2.65 eV/atom. As for the formation enthalpy at 0 K: -211 meV/atom.

Structure (CIF):
```
data_Li6AgPd
_chemical_formula_sum 'Li12 Ag2 Pd2'
_cell_length_a 4.5689
_cell_length_b 5.6770
_cell_length_c 9.8191
_cell_angle_alpha 90.00
_cell_angle_beta 90.00
_cell_angle_gamma 90.00
_symmetry_space_group_name_H-M 'A m m 2'
_symmetry_Int_Tables_number 38
_symmetry_space_group_name_Hall 'A 2 -2'
loop_
_atom_site_label
_atom_site_fract_x
_atom_site_fract_y
_atom_site_fract_z
_atom_site_occupancy
Li1 0.0000 0.0000 0.0000 1
Li2 0.0000 0.2352 0.2355 1
Li3 0.5000 0.0000 0.6539 1
Li4 0.5000 0.2446 0.4093 1
Ag1 0.0000 0.0000 0.4903 1
Pd1 0.5000 0.0000 0.1573 1
```